# 1
This record from Alexandria describes an optimized crystal structure of Tb4Sn6O19. The functional is GGA-PBE.

formation energy (no corrections): -2090 meV/atom
energy: -197.35 eV/cell

a = 8.087 Å, b = 8.087 Å, c = 8.087 Å
α = 109.47°, β = 109.47°, γ = 109.47°
Last column: magnetic moment on the atom in μB.
Positions (direct):
Tb  0.000  0.000  0.709  -0.01
Tb  0.000  0.709  0.000  -0.01
Tb  0.291  0.291  0.291  -0.01
Tb  0.709  0.000  0.000  -0.01
Sn  0.332  0.500  0.832  -0.01
Sn  0.668  0.500  0.168  -0.01
Sn  0.168  0.668  0.500  -0.01
Sn  0.832  0.332  0.500  -0.01
Sn  0.500  0.832  0.332  -0.01
Sn  0.500  0.168  0.668  -0.01
O  0.655  0.000  0.655  0.11
O  0.345  0.000  0.345  0.11
O  0.345  0.345  0.000  0.11
O  0.655  0.655  0.000  0.11
O  0.000  0.655  0.655  0.11
O  0.000  0.345  0.345  0.11
O  0.000  0.000  0.000  0.01
O  0.366  0.332  0.603  0.10
O  0.634  0.237  0.966  0.10
O  0.730  0.763  0.397  0.10
O  0.966  0.634  0.237  0.10
O  0.270  0.668  0.034  0.10
O  0.603  0.366  0.332  0.10
O  0.034  0.270  0.668  0.10
O  0.397  0.730  0.763  0.10
O  0.668  0.034  0.270  0.10
O  0.237  0.966  0.634  0.10
O  0.332  0.603  0.366  0.10
O  0.763  0.397  0.730  0.10

# 2
This record from Alexandria describes an optimized crystal structure of LiSmPdAu. The functional is GGA-PBE.

energy: -17.85 eV/cell
energy relative to the elements: -0.686 eV per atom
offset from the most stable computed form: 0.000 eV/atom

a = 4.490 Å, b = 5.368 Å, c = 5.351 Å
α = 130.53°, β = 114.81°, γ = 90.00°
Positions (direct):
Li  0.998  0.002  0.995
Sm  0.501  0.499  0.003
Pd  0.284  0.717  0.567
Au  0.717  0.282  0.435

# 3
This record from Alexandria describes an optimized crystal structure of Sr2YCd. The functional is GGA-PBE.

energy: -10.51 eV/cell
energy relative to the elements: 0.059 eV per atom

a = 4.651 Å, b = 5.619 Å, c = 5.619 Å
α = 90.00°, β = 90.00°, γ = 90.00°
Positions (direct):
Cd  0.500  0.000  0.500
Sr  0.000  0.000  0.000
Sr  0.000  0.500  0.500
Y  0.500  0.500  0.000

# 4
This record from Alexandria describes an optimized crystal structure of TbTlH. The functional is GGA-PBE.

energy: -22.97 eV/cell
offset from the most stable computed form: 0.074 eV/atom

a = 3.770 Å, b = 3.770 Å, c = 8.368 Å
α = 92.82°, β = 92.84°, γ = 87.46°
Positions (direct):
Tb  0.826  0.879  0.073
Tb  0.301  0.354  0.766
Tl  0.804  0.857  0.529
Tl  0.323  0.375  0.311
H  0.815  0.366  0.920
H  0.313  0.867  0.920

# 5
This record from Alexandria describes an optimized crystal structure of La2BiH2. The functional is GGA-PBE.

energy: -45.22 eV/cell
offset from the most stable computed form: 0.351 eV/atom

a = 7.899 Å, b = 7.899 Å, c = 3.373 Å
α = 90.00°, β = 90.00°, γ = 90.00°
Positions (direct):
H  0.402  0.902  0.000
H  0.902  0.598  0.000
H  0.598  0.098  0.000
H  0.098  0.402  0.000
Bi  0.000  0.000  0.000
Bi  0.500  0.500  0.000
La  0.156  0.656  0.500
La  0.656  0.844  0.500
La  0.844  0.344  0.500
La  0.344  0.156  0.500

# 6
This record from Alexandria describes an optimized crystal structure of Sm2Zn12Cu3Ni. The functional is GGA-PBE.

energy: -43.23 eV/cell
energy relative to the elements: -0.024 eV per atom

a = 11.471 Å, b = 11.471 Å, c = 11.471 Å
α = 29.15°, β = 29.15°, γ = 29.15°
Positions (direct):
Sm  0.641  0.641  0.641
Sm  0.359  0.359  0.359
Zn  0.402  0.402  0.854
Zn  0.893  0.893  0.382
Zn  0.382  0.893  0.893
Zn  0.854  0.402  0.402
Zn  0.893  0.382  0.893
Zn  0.402  0.854  0.402
Zn  0.598  0.598  0.146
Zn  0.107  0.107  0.618
Zn  0.618  0.107  0.107
Zn  0.146  0.598  0.598
Zn  0.107  0.618  0.107
Zn  0.598  0.146  0.598
Cu  0.500  0.000  0.000
Cu  0.000  0.500  0.000
Cu  0.000  0.000  0.500
Ni  0.000  0.000  0.000

# 7
This record from Alexandria describes an optimized crystal structure of Fe2CuRh8. The functional is GGA-PBE.

energy: -78.52 eV/cell
energy relative to the elements: 0.119 eV per atom

a = 3.997 Å, b = 6.747 Å, c = 6.968 Å
α = 118.96°, β = 106.67°, γ = 90.00°
Last column: magnetic moment on the atom in μB.
Positions (direct):
Rh  0.655  0.868  0.309  0.25
Rh  0.346  0.559  0.691  0.25
Rh  0.149  0.149  0.299  -0.01
Rh  0.000  0.304  0.000  0.04
Rh  0.851  0.851  0.701  -0.01
Rh  0.654  0.441  0.309  0.25
Rh  0.345  0.132  0.691  0.25
Rh  0.000  0.696  0.000  0.04
Fe  0.199  0.699  0.398  2.77
Fe  0.801  0.301  0.602  2.77
Cu  0.500  0.000  0.000  0.05

# 8
This record from Alexandria describes an optimized crystal structure of Nd5Dy3Tm2. The functional is GGA-PBE.

energy: -89.62 eV/cell
energy relative to the elements: 0.178 eV per atom

a = 10.018 Å, b = 10.018 Å, c = 11.273 Å
α = 129.42°, β = 129.42°, γ = 64.59°
Positions (direct):
Nd  0.272  0.522  0.044
Nd  0.728  0.478  0.956
Nd  0.023  0.773  0.546
Nd  0.518  0.268  0.537
Nd  0.977  0.227  0.454
Nd  0.482  0.732  0.463
Nd  0.884  0.636  0.760
Nd  0.116  0.364  0.240
Nd  0.376  0.124  0.760
Nd  0.624  0.876  0.240
Dy  0.228  0.978  0.956
Dy  0.772  0.022  0.044
Dy  0.720  0.473  0.250
Dy  0.280  0.527  0.750
Dy  0.030  0.777  0.250
Dy  0.970  0.223  0.750
Tm  0.781  0.034  0.757
Tm  0.219  0.966  0.243
Tm  0.476  0.723  0.757
Tm  0.524  0.277  0.243

# 9
This record from Alexandria describes an optimized crystal structure of KCuNi2Cl8. The functional is GGA-PBE.

formation energy (no corrections): -682 meV/atom
energy: -39.72 eV/cell

a = 6.225 Å, b = 6.225 Å, c = 9.815 Å
α = 71.51°, β = 71.51°, γ = 60.00°
Last column: magnetic moment on the atom in μB.
Positions (direct):
K  0.500  0.500  0.500  0.00
Cu  0.000  0.000  0.000  0.49
Ni  0.257  0.257  0.228  1.58
Ni  0.743  0.743  0.772  1.58
Cl  0.178  0.178  0.466  0.23
Cl  0.626  0.263  0.160  0.23
Cl  0.822  0.822  0.534  0.23
Cl  0.951  0.626  0.160  0.23
Cl  0.049  0.374  0.840  0.23
Cl  0.263  0.951  0.160  0.23
Cl  0.737  0.049  0.840  0.23
Cl  0.374  0.737  0.840  0.23

# 10
This record from Alexandria describes an optimized crystal structure of YHf3P. The functional is GGA-PBE.

energy: -32.59 eV/cell
energy relative to the elements: 1.829 eV per atom
offset from the most stable computed form: 2.130 eV/atom

a = 5.139 Å, b = 5.139 Å, c = 5.139 Å
α = 90.00°, β = 90.00°, γ = 90.00°
Positions (direct):
Y  0.000  0.000  0.000
P  0.500  0.500  0.500
Hf  0.000  0.500  0.000
Hf  0.000  0.000  0.500
Hf  0.500  0.000  0.000

# 11
This record from Alexandria describes an optimized crystal structure of KTaSn3. The functional is GGA-PBE.

energy: -24.74 eV/cell
energy relative to the elements: 0.044 eV per atom
offset from the most stable computed form: 0.000 eV/atom

a = 5.445 Å, b = 5.445 Å, c = 5.445 Å
α = 90.00°, β = 90.00°, γ = 90.00°
Positions (direct):
K  0.500  0.500  0.500
Sn  0.000  0.500  0.000
Sn  0.000  0.000  0.500
Sn  0.500  0.000  0.000
Ta  0.000  0.000  0.000

# 12
This record from Alexandria describes an optimized crystal structure of PmDy8Ho5. The functional is GGA-PBE.

energy: -60.96 eV/cell
energy relative to the elements: 0.250 eV per atom

a = 8.410 Å, b = 8.410 Å, c = 8.410 Å
α = 111.45°, β = 105.57°, γ = 111.46°
Positions (direct):
Pm  0.250  0.500  0.750
Dy  0.165  0.739  0.079
Dy  0.921  0.085  0.659
Dy  0.723  0.253  0.328
Dy  0.672  0.394  0.924
Dy  0.530  0.606  0.277
Dy  0.574  0.915  0.835
Dy  0.341  0.261  0.426
Dy  0.076  0.747  0.470
Ho  0.039  0.321  0.136
Ho  0.864  0.903  0.186
Ho  0.814  0.679  0.718
Ho  0.500  0.000  0.500
Ho  0.282  0.097  0.961

# 13
This record from Alexandria describes an optimized crystal structure of CdInH6Ir2. The functional is GGA-PBE.

energy: -82.80 eV/cell

a = 7.265 Å, b = 7.265 Å, c = 4.863 Å
α = 100.01°, β = 100.01°, γ = 118.16°
Positions (direct):
Cd  0.101  0.899  0.250
Cd  0.899  0.101  0.750
In  0.716  0.284  0.250
In  0.284  0.716  0.750
H  0.105  0.462  0.140
H  0.538  0.895  0.360
H  0.895  0.538  0.860
H  0.462  0.105  0.640
H  0.292  0.281  0.157
H  0.719  0.708  0.343
H  0.708  0.719  0.843
H  0.281  0.292  0.657
H  0.369  0.517  0.446
H  0.483  0.631  0.054
H  0.631  0.483  0.554
H  0.517  0.369  0.946
Ir  0.316  0.120  0.847
Ir  0.880  0.684  0.653
Ir  0.684  0.880  0.153
Ir  0.120  0.316  0.347

# 14
This record from Alexandria describes an optimized crystal structure of RbScNF2. The functional is GGA-PBE.

formation energy (no corrections): -166 meV/atom
energy: -20.20 eV/cell
offset from the most stable computed form: 1.982 eV/atom

a = 4.656 Å, b = 4.656 Å, c = 4.563 Å
α = 90.00°, β = 90.00°, γ = 90.00°
Last column: magnetic moment on the atom in μB.
Positions (direct):
Sc  0.500  0.500  0.500  0.29
N  0.000  0.000  0.500  0.19
Rb  0.000  0.000  0.000  0.03
F  0.000  0.500  0.000  -0.01
F  0.500  0.000  0.000  -0.01

# 15
This record from Alexandria describes an optimized crystal structure of AcLa2InO. The functional is GGA-PBE.

formation energy (no corrections): -1371 meV/atom
energy: -28.51 eV/cell

a = 5.247 Å, b = 5.124 Å, c = 5.124 Å
α = 90.00°, β = 90.00°, γ = 90.00°
Positions (direct):
Ac  0.500  0.000  0.000
La  0.000  0.000  0.500
La  0.000  0.500  0.000
In  0.500  0.500  0.500
O  0.000  0.000  0.000

# 16
This record from Alexandria describes an optimized crystal structure of LaGeIrRh. The functional is GGA-PBE.

energy: -27.76 eV/cell
energy relative to the elements: -0.500 eV per atom

a = 4.088 Å, b = 4.204 Å, c = 5.886 Å
α = 110.92°, β = 110.32°, γ = 90.00°
Positions (direct):
La  0.971  0.971  0.941
Ge  0.218  0.718  0.437
Ir  0.587  0.587  0.173
Rh  0.340  0.340  0.680

# 17
This record from Alexandria describes an optimized crystal structure of AcZn3PdRh. The functional is GGA-PBE.

energy: -46.21 eV/cell
energy relative to the elements: -0.438 eV per atom

a = 5.685 Å, b = 6.511 Å, c = 7.178 Å
α = 116.97°, β = 90.00°, γ = 90.00°
Positions (direct):
Ac  0.750  0.272  0.545
Ac  0.250  0.728  0.455
Zn  0.250  0.141  0.282
Zn  0.000  0.301  0.000
Zn  0.500  0.699  0.000
Zn  0.500  0.301  0.000
Zn  0.000  0.699  0.000
Zn  0.750  0.859  0.718
Pd  0.250  0.350  0.701
Pd  0.750  0.650  0.299
Rh  0.250  0.942  0.883
Rh  0.750  0.058  0.117

# 18
This record from Alexandria describes an optimized crystal structure of Tb2Ho12Tm. The functional is GGA-PBE.

energy: -133.79 eV/cell
energy relative to the elements: 0.118 eV per atom

a = 6.391 Å, b = 6.391 Å, c = 26.436 Å
α = 100.69°, β = 79.31°, γ = 67.35°
Positions (direct):
Tb  0.648  0.852  0.281
Tb  0.148  0.352  0.281
Tb  0.852  0.648  0.719
Tb  0.352  0.148  0.719
Ho  0.257  0.743  0.795
Ho  0.757  0.243  0.795
Ho  0.671  0.829  0.863
Ho  0.086  0.914  0.931
Ho  0.080  0.920  0.335
Ho  0.414  0.586  0.069
Ho  0.809  0.191  0.553
Ho  0.580  0.420  0.335
Ho  0.171  0.329  0.863
Ho  0.829  0.671  0.137
Ho  0.285  0.215  0.573
Ho  0.691  0.309  0.447
Ho  0.920  0.080  0.665
Ho  0.215  0.285  0.427
Ho  0.329  0.171  0.137
Ho  0.715  0.785  0.427
Ho  0.785  0.715  0.573
Ho  0.243  0.757  0.205
Ho  0.309  0.691  0.553
Ho  0.420  0.580  0.665
Ho  0.586  0.414  0.931
Ho  0.743  0.257  0.205
Ho  0.191  0.809  0.447
Ho  0.914  0.086  0.069
Tm  0.500  0.000  0.000
Tm  0.000  0.500  0.000

# 19
This record from Alexandria describes an optimized crystal structure of PmBiBO5. The functional is GGA-PBE.

formation energy (no corrections): -2060 meV/atom
energy: -113.16 eV/cell

a = 5.578 Å, b = 5.578 Å, c = 7.466 Å
α = 100.95°, β = 100.95°, γ = 107.59°
Positions (direct):
Pm  0.364  0.636  0.250
Pm  0.636  0.364  0.750
Bi  0.000  0.000  0.500
Bi  0.000  0.000  0.000
B  0.690  0.310  0.250
B  0.310  0.690  0.750
O  0.108  0.892  0.250
O  0.892  0.108  0.750
O  0.917  0.347  0.164
O  0.083  0.653  0.836
O  0.653  0.083  0.336
O  0.347  0.917  0.664
O  0.722  0.549  0.408
O  0.278  0.451  0.592
O  0.451  0.278  0.092
O  0.549  0.722  0.908

# 20
This record from Alexandria describes an optimized crystal structure of AgNF2. The functional is GGA-PBE.

formation energy (no corrections): -807 meV/atom
energy: -36.29 eV/cell
offset from the most stable computed form: 0.000 eV/atom

a = 3.432 Å, b = 4.033 Å, c = 11.484 Å
α = 81.37°, β = 95.26°, γ = 115.22°
Positions (direct):
Ag  0.276  0.655  0.336
Ag  0.724  0.345  0.664
N  0.078  0.566  0.040
N  0.922  0.434  0.960
F  0.651  0.360  0.410
F  0.349  0.640  0.590
F  0.104  0.060  0.739
F  0.896  0.940  0.261